# 1
This record from Alexandria via LeMat-Bulk describes Pm6Y3Tm2Mg after structural relaxation. The functional is GGA-PBE.

Values from the calculation:
For the formation energy, the calculation gives 0.03 eV/atom. The calculation puts the total energy at -4.84 eV/atom.

Cell lengths 6.219, 6.219, 11.728 Å; angles 95.09, 95.09, 120.01 degrees
Positions (direct):
Pm 0.919 0.585 0.754
Pm 0.748 0.748 0.247
Pm 0.081 0.415 0.246
Pm 0.585 0.919 0.754
Pm 0.252 0.252 0.753
Pm 0.415 0.081 0.246
Y 0.166 0.834 0.500
Y 0.834 0.166 0.500
Y 0.500 0.500 0.500
Tm 0.333 0.667 0.000
Tm 0.667 0.333 0.000
Mg 0.000 0.000 0.000

***

# 2
This record from Alexandria via LeMat-Bulk describes GePdAu2 after structural relaxation. The functional is GGA-PBE.

Values from the calculation:
For the formation energy, the calculation gives -0.02 eV/atom. The calculation puts the total energy at -4.11 eV/atom.

Cell lengths 7.407, 7.407, 5.880 Å; angles 50.96, 50.96, 90.00 degrees
Positions (direct):
Ge 0.500 0.500 0.000
Ge 0.250 0.750 0.500
Au 0.603 0.125 0.250
Au 0.147 0.625 0.250
Au 0.375 0.397 0.750
Au 0.875 0.853 0.750
Pd 0.000 0.000 0.000
Pd 0.750 0.250 0.500

***

# 3
This record from Alexandria via LeMat-Bulk describes AlCu3 after structural relaxation. The functional is GGA-PBE.

Values from the calculation:
For the formation energy, the calculation gives -0.10 eV/atom. The calculation puts the total energy at -4.11 eV/atom.

Cell lengths 4.830, 4.830, 4.830 Å; angles 116.88, 116.88, 116.88 degrees
Positions (direct):
Al 0.000 0.000 0.000
Cu 0.000 0.500 0.500
Cu 0.500 0.000 0.500
Cu 0.500 0.500 0.000

***

# 4
This record from Alexandria via LeMat-Bulk describes TaTcBr after structural relaxation. The functional is GGA-PBE.

Values from the calculation:
The calculation puts the total energy at -7.27 eV/atom. As for the formation energy from raw total energies: 0.6909 eV per atom. For the energy above the most stable polymorph in this dataset, the calculation gives 625 meV/atom.

Cell lengths 4.762, 4.762, 4.762 Å; angles 142.26, 127.43, 66.51 degrees
Positions (direct):
Tc 0.670 0.670 0.000
Br 0.001 0.001 0.000
Ta 0.329 0.329 0.000